Entry from Alexandria via LeMat-Bulk: a relaxed TiMoAs2Br crystal (GGA-PBE).

It has space group P4/mmm (No. 123), with a = 4.846 Å, b = 4.846 Å, c = 5.308 Å, α = 90.00°, β = 90.00° and γ = 90.00°. Symmetry generates all atoms from Ti at (0.000, 0.000, 0.000), Mo at (0.500, 0.500, 0.500), As at (0.000, 0.500, 0.500) and Br at (0.500, 0.500, 0.000).

The volume is 124.7 Å³ per cell. Its total energy is -26.78 eV/cell. As for the energy above the lowest structure with this stoichiometry: 0.000 kcal/mol of atoms. The uncorrected formation energy is 0.584 eV per atom.


Entry from Alexandria via LeMat-Bulk: a relaxed CuRuBr2 crystal (GGA-PBE).

It has space group F-43m (No. 216), with a = 6.838 Å, b = 6.838 Å, c = 6.838 Å, α = 90.00°, β = 90.00° and γ = 90.00°. Symmetry generates all atoms from Cu at (0.000, 0.000, 0.000), Ru at (0.250, 0.250, 0.250), Br at (0.000, 0.000, 0.500) and Br at (0.250, 0.250, 0.750).

The volume is 319.8 Å³ per cell. Its total energy is -49.65 eV/cell. As for the energy above the lowest structure with this stoichiometry: 18.970 kcal/mol of atoms. The uncorrected formation energy is 1.077 eV per atom.


Entry from Alexandria via LeMat-Bulk: a relaxed Mn2BiS crystal (GGA-PBE).

It has space group Fm-3m (No. 225), with a = 6.217 Å, b = 6.217 Å, c = 6.217 Å, α = 90.00°, β = 90.00° and γ = 90.00°. Symmetry generates all atoms from Mn at (0.250, 0.250, 0.250), Bi at (0.000, 0.000, 0.000) and S at (0.000, 0.000, 0.500).

The volume is 240.3 Å³ per cell. Its total energy is -93.46 eV/cell. As for the energy above the lowest structure with this stoichiometry: 5.916 kcal/mol of atoms. The uncorrected formation energy is 0.745 eV per atom.


Entry from Alexandria via LeMat-Bulk: a relaxed Cd2Ga3Ag5 crystal (GGA-PBE).

It has space group Ibam (No. 72), with a = 10.725 Å, b = 13.194 Å, c = 5.677 Å, α = 90.00°, β = 90.00° and γ = 90.00°. Symmetry generates all atoms from Cd at (0.138, 0.208, 0.000), Ga at (0.000, 0.500, 0.250), Ga at (0.139, 0.148, 0.500), Ag at (0.000, 0.000, 0.250), Ag at (0.089, 0.340, 0.500) and Ag at (0.241, 0.500, 0.250).

The formation energy is 86.1 meV per atom. The volume is 803.3 Å³ per cell. Its total energy is -97.22 eV/cell. As for the energy above the lowest structure with this stoichiometry: 1.869 kcal/mol of atoms.


Entry from Alexandria via LeMat-Bulk: a relaxed ThCuSi crystal (GGA-PBE).

It has space group P-6m2 (No. 187), with a = 4.1168 Å, b = 4.1168 Å, c = 12.4346 Å, α = 90.00°, β = 90.00° and γ = 120.00°. Symmetry generates all atoms from Th at (0.0000, 0.0000, 0.0000), Th at (0.0000, 0.0000, 0.3327), Cu at (0.3333, 0.6667, 0.5000), Cu at (0.6667, 0.3333, 0.1680), Si at (0.3333, 0.6667, 0.1656) and Si at (0.6667, 0.3333, 0.5000).

The volume is 182.5 Å³ per cell. Its total energy is -56.59 eV/cell. The uncorrected formation energy is -0.641 eV per atom.


Entry from Alexandria via LeMat-Bulk: a relaxed YAu2C crystal (GGA-PBE).

It has space group I-42d (No. 122), with a = 5.142 Å, b = 5.142 Å, c = 12.949 Å, α = 90.00°, β = 90.00° and γ = 90.00°. Symmetry generates all atoms from Y at (0.000, 0.000, 0.000), Au at (0.105, 0.250, 0.625) and C at (0.000, 0.000, 0.500).

The formation energy is 460.1 meV per atom. The volume is 342.4 Å³ per cell. Its total energy is -81.61 eV/cell.


Entry from Alexandria via LeMat-Bulk: a relaxed BaSbRu2 crystal (GGA-PBE).

It has space group I-42d (No. 122), with a = 7.737 Å, b = 7.737 Å, c = 6.675 Å, α = 90.00°, β = 90.00° and γ = 90.00°. Symmetry generates all atoms from Ba at (0.000, 0.000, 0.000), Sb at (0.000, 0.000, 0.500) and Ru at (0.181, 0.750, 0.625).

The volume is 399.6 Å³ per cell. Its total energy is -89.02 eV/cell. The uncorrected formation energy is 0.586 eV per atom.


Entry from Alexandria via LeMat-Bulk: a relaxed TlBPdPt2 crystal (GGA-PBE).

It has space group P4/mmm (No. 123), with a = 4.249 Å, b = 4.249 Å, c = 4.409 Å, α = 90.00°, β = 90.00° and γ = 90.00°. Symmetry generates all atoms from Tl at (0.000, 0.000, 0.000), B at (0.500, 0.500, 0.500), Pd at (0.500, 0.500, 0.000) and Pt at (0.000, 0.500, 0.500).

The formation energy is -81.2 meV per atom. The volume is 79.6 Å³ per cell. Its total energy is -26.72 eV/cell.


Entry from Alexandria via LeMat-Bulk: a relaxed Ga2SnGe crystal (GGA-PBE).

It has space group R3m (No. 160, hexagonal axes), with a = 4.1290 Å, b = 4.1290 Å, c = 18.4217 Å, α = 90.00°, β = 90.00° and γ = 120.00°. Symmetry generates all atoms from Ga at (0.0000, 0.0000, 0.0000), Ga at (0.0000, 0.0000, 0.1919), Sn at (0.0000, 0.0000, 0.4306) and Ge at (0.0000, 0.0000, 0.5957).

The formation energy is 104.8 meV per atom. The volume is 272.0 Å³ per cell. Its total energy is -42.76 eV/cell.


Entry from Alexandria via LeMat-Bulk: a relaxed SbPBr2 crystal (GGA-PBE).

It has space group I-42d (No. 122), with a = 4.601 Å, b = 4.601 Å, c = 19.480 Å, α = 90.00°, β = 90.00° and γ = 90.00°. Symmetry generates all atoms from Sb at (0.000, 0.000, 0.000), P at (0.000, 0.000, 0.500) and Br at (0.243, 0.250, 0.625).

The volume is 412.3 Å³ per cell. Its total energy is -45.41 eV/cell. As for the energy above the lowest structure with this stoichiometry: 13.391 kcal/mol of atoms. The uncorrected formation energy is 0.382 eV per atom.


Entry from Alexandria via LeMat-Bulk: a relaxed NaMg3S4O12 crystal (GGA-PBE).

It has space group R32 (No. 155, hexagonal axes), with a = 10.5406 Å, b = 10.5406 Å, c = 8.1959 Å, α = 90.00°, β = 90.00° and γ = 120.00°. Symmetry generates all atoms from Na at (0.0000, 0.0000, 0.0000), Mg at (0.0000, 0.5599, 0.0000), S at (0.0000, 0.0000, 0.5000), S at (0.0000, 0.4412, 0.5000), O at (0.0000, 0.5891, 0.5000), O at (0.0000, 0.8341, 0.5000) and O at (0.0347, 0.2198, 0.1834).

The volume is 788.6 Å³ per cell. Its total energy is -318.53 eV/cell. The uncorrected formation energy is -1.203 eV per atom.


Entry from Alexandria via LeMat-Bulk: a relaxed RbHg3O crystal (GGA-PBE).

It has space group Pm-3m (No. 221), with a = 7.142 Å, b = 7.142 Å, c = 7.142 Å, α = 90.00°, β = 90.00° and γ = 90.00°. Symmetry generates all atoms from Rb at (0.000, 0.000, 0.000), Hg at (0.000, 0.000, 0.500) and O at (0.500, 0.500, 0.500).

The volume is 364.3 Å³ per cell. Its total energy is -4.46 eV/cell. As for the energy above the lowest structure with this stoichiometry: 10.876 kcal/mol of atoms. The uncorrected formation energy is 0.475 eV per atom.


Entry from Alexandria via LeMat-Bulk: a relaxed Y2AgAu crystal (GGA-PBE).

It has space group Fm-3m (No. 225), with a = 7.246 Å, b = 7.246 Å, c = 7.246 Å, α = 90.00°, β = 90.00° and γ = 90.00°. Symmetry generates all atoms from Y at (0.250, 0.250, 0.250), Ag at (0.000, 0.000, 0.000) and Au at (0.000, 0.000, 0.500).

The formation energy is -600.6 meV per atom. The volume is 380.5 Å³ per cell. Its total energy is -85.84 eV/cell.